VASP calculation (PBE) on crystalline Ca3Pa2TiP6 at its relaxed geometry.

Geometry as POSCAR:
```
Ca3Pa2TiP6
1.0
3.4169 -5.9207 0.0000
3.4169 5.9207 0.0000
-2.2884 0.0000 6.6068
Ca Pa Ti P
3 2 1 6
direct
0.0000 0.0000 0.0000
0.3305 0.6695 0.0000
0.6695 0.3305 0.0000
0.1663 0.8337 0.5000
0.8337 0.1663 0.5000
0.5000 0.5000 0.5000
0.1054 0.4257 0.2764
0.2554 0.2554 0.7253
0.4257 0.1054 0.2764
0.5743 0.8946 0.7236
0.7446 0.7446 0.2747
0.8946 0.5743 0.7236
```

Values from the calculation:
- Calculated total energy: -6.63 eV per atom
- M_tot: 0.0 μB per formula unit
- Density of states at the Fermi level: 7.99 states/eV/cell
- ΔE_f: -1.1868 eV per atom

***

VASP calculation (PBE) on crystalline Ca3Tm2PaP6 at its relaxed geometry.

Geometry as POSCAR:
```
Ca3Tm2PaP6
1.0
3.4988 -6.0658 0.0000
3.4988 6.0658 0.0000
-2.3350 0.0000 6.6496
Ca Tm Pa P
3 2 1 6
direct
0.0000 0.0000 0.0000
0.3315 0.6685 0.0000
0.6685 0.3315 0.0000
0.1667 0.8333 0.5000
0.8333 0.1667 0.5000
0.5000 0.5000 0.5000
0.0950 0.4232 0.2693
0.2487 0.2487 0.7304
0.4232 0.0950 0.2693
0.5768 0.9050 0.7307
0.7513 0.7513 0.2696
0.9050 0.5768 0.7307
```

Values from the calculation:
- Calculated total energy: -6.04 eV per atom
- M_tot: 0.0 μB per formula unit
- Density of states at the Fermi level: 9.20 states/eV/cell
- ΔE_f: -1.2962 eV per atom

***

VASP calculation (PBE) on crystalline CaTmPa2P4 at its relaxed geometry.

Geometry as POSCAR:
```
CaTmPa2P4
1.0
6.8877 0.0000 0.0000
0.0000 4.0002 0.0000
-2.3236 0.0000 6.5412
Ca Tm Pa P
1 1 2 4
direct
0.0000 0.0000 0.0000
0.0000 0.5000 0.5000
0.5000 0.0000 0.5000
0.5000 0.5000 0.0000
0.2545 0.0000 0.7477
0.2600 0.5000 0.2578
0.7400 0.5000 0.7422
0.7455 0.0000 0.2523
```

Values from the calculation:
- Calculated total energy: -7.22 eV per atom
- M_tot: 0.0 μB per formula unit
- Density of states at the Fermi level: 7.61 states/eV/cell
- ΔE_f: -1.3351 eV per atom

***

> Which formula does entry 3 have?

CaTmPa2P4